# B7C5 PBE-GGA optimized geometry
# Energy relative to the lowest polymorph listed for this composition: 277 meV/atom
# Energy relative to the elements: 441 meV per atom
# Size of the total moment: 0.0 μB per formula unit
# Fermi-level density of states: 0.084 states/eV per atom
# Theoretical density: 2.73 g/cm³
data_B7C5
_cell_length_a 6.344
_cell_length_b 6.344
_cell_length_c 5.249
_cell_angle_alpha 100.69
_cell_angle_beta 100.69
_cell_angle_gamma 23.43
_symmetry_space_group_name_H-M 'P 1'
_symmetry_Int_Tables_number 1
loop_
_symmetry_equiv_pos_as_xyz
'x,y,z'
loop_
_atom_site_label
_atom_site_type_symbol
_atom_site_fract_x
_atom_site_fract_y
_atom_site_fract_z
_atom_site_occupancy
B1 B 0.000 0.000 0.000 1
B2 B 0.001 0.001 0.384 1
B3 B 0.330 0.330 0.620 1
B4 B 0.573 0.573 0.901 1
B5 B 0.588 0.588 0.530 1
B6 B 0.699 0.699 0.361 1
B7 B 0.935 0.935 0.667 1
C1 C 0.255 0.255 0.841 1
C2 C 0.258 0.258 0.329 1
C3 C 0.329 0.329 0.118 1
C4 C 0.684 0.684 0.803 1
C5 C 0.900 0.900 0.147 1

# BC PBE-GGA optimized geometry
# Energy relative to the lowest polymorph listed for this composition: 255 meV/atom
# Energy relative to the elements: 406 meV per atom
# Size of the total moment: 0.0 μB per formula unit
# Fermi-level density of states: 0.129 states/eV per atom
# Theoretical density: 2.67 g/cm³
data_BC
_cell_length_a 6.407
_cell_length_b 6.407
_cell_length_c 5.321
_cell_angle_alpha 92.84
_cell_angle_beta 92.84
_cell_angle_gamma 23.01
_symmetry_space_group_name_H-M 'P 1'
_symmetry_Int_Tables_number 1
loop_
_symmetry_equiv_pos_as_xyz
'x,y,z'
loop_
_atom_site_label
_atom_site_type_symbol
_atom_site_fract_x
_atom_site_fract_y
_atom_site_fract_z
_atom_site_occupancy
B1 B 0.000 0.000 0.000 1
B2 B 0.032 0.032 0.566 1
B3 B 0.229 0.229 0.848 1
B4 B 0.327 0.327 0.560 1
B5 B 0.603 0.603 0.038 1
B6 B 0.912 0.912 0.700 1
C1 C 0.250 0.250 0.317 1
C2 C 0.317 0.317 0.074 1
C3 C 0.602 0.602 0.525 1
C4 C 0.670 0.670 0.773 1
C5 C 0.676 0.676 0.301 1
C6 C 0.882 0.882 0.037 1

# BC PBE-GGA optimized geometry
# Energy relative to the lowest polymorph listed for this composition: 210 meV/atom
# Energy relative to the elements: 361 meV per atom
# Size of the total moment: 0.0 μB per formula unit
# Fermi-level density of states: 0.139 states/eV per atom
# Theoretical density: 2.74 g/cm³
data_BC
_cell_length_a 4.694
_cell_length_b 2.699
_cell_length_c 6.554
_cell_angle_alpha 90.00
_cell_angle_beta 90.17
_cell_angle_gamma 90.00
_symmetry_space_group_name_H-M 'P 1'
_symmetry_Int_Tables_number 1
loop_
_symmetry_equiv_pos_as_xyz
'x,y,z'
loop_
_atom_site_label
_atom_site_type_symbol
_atom_site_fract_x
_atom_site_fract_y
_atom_site_fract_z
_atom_site_occupancy
B1 B 0.161 0.000 0.325 1
B2 B 0.183 0.000 0.991 1
B3 B 0.324 0.500 0.709 1
B4 B 0.676 0.500 0.291 1
B5 B 0.817 0.000 0.009 1
B6 B 0.839 0.000 0.675 1
C1 C 0.002 0.500 0.616 1
C2 C 0.347 0.500 0.967 1
C3 C 0.498 0.000 0.388 1
C4 C 0.502 0.000 0.612 1
C5 C 0.653 0.500 0.033 1
C6 C 0.998 0.500 0.384 1

# BC PBE-GGA optimized geometry
# Energy relative to the lowest polymorph listed for this composition: 260 meV/atom
# Energy relative to the elements: 411 meV per atom
# Size of the total moment: 0.0 μB per formula unit
# Fermi-level density of states: 0.145 states/eV per atom
# Theoretical density: 2.78 g/cm³
data_BC
_cell_length_a 7.030
_cell_length_b 7.030
_cell_length_c 4.833
_cell_angle_alpha 104.04
_cell_angle_beta 104.04
_cell_angle_gamma 20.71
_symmetry_space_group_name_H-M 'P 1'
_symmetry_Int_Tables_number 1
loop_
_symmetry_equiv_pos_as_xyz
'x,y,z'
loop_
_atom_site_label
_atom_site_type_symbol
_atom_site_fract_x
_atom_site_fract_y
_atom_site_fract_z
_atom_site_occupancy
B1 B 0.000 0.000 0.000 1
B2 B 0.136 0.136 0.103 1
B3 B 0.280 0.280 0.922 1
B4 B 0.430 0.430 0.792 1
B5 B 0.509 0.509 0.426 1
B6 B 0.838 0.838 0.182 1
C1 C 0.156 0.156 0.776 1
C2 C 0.320 0.320 0.620 1
C3 C 0.625 0.625 0.597 1
C4 C 0.673 0.673 0.327 1
C5 C 0.786 0.786 0.449 1
C6 C 0.958 0.958 0.290 1